(1)
This record from Alexandria describes crystalline InMo2As at its relaxed geometry. The functional is PBE.

Lattice parameters (Å, degrees): 9.9731 9.9731 9.9731 156.76 156.76 33.10
Closest atoms and distances in Å follow each position.
Atoms (fractional coordinates):
In: 0.0000 0.0000 0.0000  4 As 2.84, 4 Mo 2.88
In: 0.7500 0.2500 0.5000  4 As 2.84, 4 Mo 2.88
Mo: 0.1862 0.6250 0.0612  2 Mo 2.52, 2 As 2.70
Mo: 0.3750 0.4362 0.5612  2 Mo 2.52, 2 As 2.70
Mo: 0.5638 0.1250 0.9388  2 Mo 2.52, 2 As 2.70
Mo: 0.8750 0.8138 0.4388  2 Mo 2.52, 2 As 2.70
As: 0.2500 0.7500 0.5000  4 Mo 2.70, 4 In 2.84
As: 0.5000 0.5000 0.0000  4 Mo 2.70, 4 In 2.84

Crystal system: tetragonal
Calculated total energy in eV/atom: -6.7167
Space group: I-42d, No. 122
Energy above the most stable polymorph in this dataset in eV/atom: 0.512
Formation energy from the elements in meV/atom: 546

---

(2)
This record from Alexandria describes crystalline Na3LiH6Au2 at its relaxed geometry. The functional is PBE.

Lattice parameters (Å, degrees): 5.5099 5.5099 6.2853 90.00 90.00 120.00
Closest atoms and distances in Å follow each position.
Atoms (fractional coordinates):
Na: 0.0000 0.0000 0.0000  6 H 2.25
Na: 0.3333 0.6667 0.7369  6 H 2.76, 1 Au 3.00
Na: 0.6667 0.3333 0.2631  6 H 2.76, 1 Au 3.00
Li: 0.0000 0.0000 0.5000  6 H 2.05
H: 0.1535 0.3070 0.2708  1 Au 1.72
H: 0.1535 0.8465 0.2708  1 Au 1.72
H: 0.3070 0.1535 0.7292  1 Au 1.72
H: 0.6930 0.8465 0.2708  1 Au 1.72
H: 0.8465 0.1535 0.7292  1 Au 1.72
H: 0.8465 0.6930 0.7292  1 Au 1.72
Au: 0.3333 0.6667 0.2604  3 H 1.72
Au: 0.6667 0.3333 0.7396  3 H 1.72

Crystal system: trigonal
Calculated total energy in eV/atom: -2.8781
Space group: P-3m1, No. 164

---

(3)
This record from Alexandria describes crystalline LaNdTlGa at its relaxed geometry. The functional is PBE.

Lattice parameters (Å, degrees): 3.7835 3.7835 7.9214 90.00 90.00 90.00
Closest atoms and distances in Å follow each position.
Atoms (fractional coordinates):
La: 0.0000 0.0000 0.0000  4 Ga 3.28, 4 Tl 3.45
Nd: 0.0000 0.0000 0.4651  4 Ga 3.22, 4 Tl 3.37
Tl: 0.5000 0.5000 0.7245  4 Nd 3.37, 4 La 3.45
Ga: 0.5000 0.5000 0.2396  4 Nd 3.22, 4 La 3.28

Crystal system: tetragonal
Calculated total energy in eV/atom: -4.2559
Space group: P4mm, No. 99
Energy above the most stable polymorph in this dataset in eV/atom: 0.000
Formation energy from the elements in meV/atom: -484

---

(4)
This record from Alexandria describes crystalline LaTbTm5Th2 at its relaxed geometry. The functional is PBE.

Lattice parameters (Å, degrees): 9.7829 9.7829 9.7829 125.80 125.80 80.22
Closest atoms and distances in Å follow each position.
Atoms (fractional coordinates):
La: 0.2500 0.2500 0.0000  10 Tm 3.63-3.74
La: 0.7500 0.7500 0.0000  10 Tm 3.63-3.74
Tb: 0.2500 0.7500 0.5000  4 Tm 3.11
Tb: 0.7500 0.2500 0.5000  4 Tm 3.11
Tm: 0.0000 0.0000 0.0000  4 Th 3.56, 2 La 3.74, 8 Tm 3.79
Tm: 0.0701 0.5701 0.9114  1 Th 3.01, 1 Tb 3.11
Tm: 0.1587 0.0701 0.5000  1 Th 3.01, 1 Tb 3.11
Tm: 0.3413 0.8413 0.9114  1 Th 3.01, 1 Tb 3.11
Tm: 0.4299 0.3413 0.5000  1 Th 3.01, 1 Tb 3.11
Tm: 0.5000 0.5000 0.0000  4 Th 3.56, 2 La 3.74, 8 Tm 3.79
Tm: 0.5701 0.6587 0.5000  1 Th 3.01, 1 Tb 3.11
Tm: 0.6587 0.1587 0.0886  1 Th 3.01, 1 Tb 3.11
Tm: 0.8413 0.9299 0.5000  1 Th 3.01, 1 Tb 3.11
Tm: 0.9299 0.4299 0.0886  1 Th 3.01, 1 Tb 3.11
Th: 0.1183 0.3817 0.5000  1 Th 2.98, 2 Tm 3.01
Th: 0.3817 0.8817 0.2634  1 Th 2.98, 2 Tm 3.01
Th: 0.6183 0.1183 0.7366  1 Th 2.98, 2 Tm 3.01
Th: 0.8817 0.6183 0.5000  1 Th 2.98, 2 Tm 3.01

Crystal system: tetragonal
Calculated total energy in eV/atom: -4.8654
Space group: I4/mcm, No. 140
Formation energy from the elements in meV/atom: 330

---

The calculation returns the following mass density values, one per record and in order: 8.215; 4.782; 8.160; 8.976 Mg/m³.
The calculation returns the following M_tot values, one per record and in order: 0.0; 0.0; 0.0; 0.0 μB per formula unit.